The following is a DFT calculation (PBE) of crystalline Pr12Er7Sc at its relaxed geometry.

Cell: 9.4266 9.4266 9.4266 Å, 107.82 107.82 107.82°
Positions (direct):
Pr 0.2177 0.6773 0.3822
Pr 0.7054 0.5956 0.9419
Pr 0.2946 0.4044 0.0581
Pr 0.6178 0.7823 0.3227
Pr 0.6773 0.3822 0.2177
Pr 0.0581 0.2946 0.4044
Pr 0.3227 0.6178 0.7823
Pr 0.5956 0.9419 0.7054
Pr 0.4044 0.0581 0.2946
Pr 0.7823 0.3227 0.6178
Pr 0.9419 0.7054 0.5956
Pr 0.3822 0.2177 0.6773
Er 0.5000 0.5000 0.5000
Er 0.0052 0.8991 0.3137
Er 0.8991 0.3137 0.0052
Er 0.6863 0.9948 0.1009
Er 0.9948 0.1009 0.6863
Er 0.3137 0.0052 0.8991
Er 0.1009 0.6863 0.9948
Sc 0.0000 0.0000 0.0000

Output
Crystal system: trigonal
SG: R-3
E above lowest polymorph (eV/atom): 0.000
Raw total energy (eV per cell): -92.7